## a
Density functional theory data (GGA-PBE) for crystalline NdTlAu4 at its relaxed geometry.

Unit cell a=4.8350 b=4.8350 c=6.8044 alpha=90.00 beta=90.00 gamma=120.00
Space group P6/mmm (No. 191)
Unique sites:
Nd: 0.0000 0.0000 0.0000
Tl: 0.0000 0.0000 0.5000
Au: 0.3333 0.6667 0.2435

Its crystal system is hexagonal. The total moment comes out at 0.0 μB/f.u.

---

## b
Density functional theory data (GGA-PBE) for crystalline NdTlAu4 at its relaxed geometry.

Unit cell a=8.062 b=8.062 c=8.062 alpha=90.00 beta=90.00 gamma=90.00
Space group F-43m (No. 216)
Unique sites:
Nd: 0.000 0.000 0.000
Tl: 0.250 0.250 0.750
Au: 0.125 0.125 0.375

Its crystal system is cubic. The total moment comes out at 0.0 μB/f.u.

---

Which structure is most stable, and how do the rest compare? From most to least stable: a, b.

---

## a
Density functional theory data (GGA-PBE) for crystalline NdTlAu2 at its relaxed geometry.

Unit cell a=7.242 b=7.242 c=7.242 alpha=90.00 beta=90.00 gamma=90.00
Space group Fm-3m (No. 225)
Unique sites:
Nd: 0.000 0.000 0.000
Tl: 0.000 0.000 0.500
Au: 0.250 0.250 0.250

Its crystal system is cubic. The total moment comes out at 0.0 μB/f.u.

---

## b
Density functional theory data (GGA-PBE) for crystalline NdTlAu2 at its relaxed geometry.

Unit cell a=3.811 b=3.811 c=6.818 alpha=90.00 beta=90.00 gamma=90.00
Space group P4/mmm (No. 123)
Unique sites:
Nd: 0.000 0.000 0.000
Tl: 0.000 0.000 0.500
Au: 0.500 0.500 0.235

Its crystal system is tetragonal. The total moment comes out at 0.0 μB/f.u.

---

Which structure is most stable, and how do the rest compare? From most to least stable: a, b.

---

## a
Density functional theory data (GGA-PBE) for crystalline NdTl2Au at its relaxed geometry.

Unit cell a=3.5544 b=3.5544 c=32.6350 alpha=90.00 beta=90.00 gamma=120.00
Space group R-3m (No. 166, hexagonal axes)
Unique sites:
Nd: 0.0000 0.0000 0.0000
Tl: 0.0000 0.0000 0.0996
Au: 0.0000 0.0000 0.5000

Its crystal system is trigonal. The total moment comes out at 0.0 μB/f.u.

---

## b
Density functional theory data (GGA-PBE) for crystalline NdTl2Au at its relaxed geometry.

Unit cell a=4.644 b=4.644 c=4.798 alpha=90.00 beta=90.00 gamma=90.00
Space group P4/mmm (No. 123)
Unique sites:
Nd: 0.000 0.000 0.000
Tl: 0.000 0.500 0.500
Au: 0.500 0.500 0.000

Its crystal system is tetragonal. The total moment comes out at 0.0 μB/f.u.

---

Which structure is most stable, and how do the rest compare? From most to least stable: b, a.

---

## a
Density functional theory data (GGA-PBE) for crystalline Nd3Tl2Au at its relaxed geometry.

Unit cell a=3.708 b=3.708 c=12.414 alpha=90.00 beta=90.00 gamma=90.00
Space group P4/mmm (No. 123)
Unique sites:
Nd: 0.000 0.000 0.000
Nd: 0.000 0.000 0.352
Tl: 0.500 0.500 0.175
Au: 0.500 0.500 0.500

Its crystal system is tetragonal. The total moment comes out at 0.0 μB/f.u.

---

## b
Density functional theory data (GGA-PBE) for crystalline Nd3Tl2Au at its relaxed geometry.

Unit cell a=15.978 b=6.563 c=6.693 alpha=90.00 beta=103.08 gamma=90.00
Space group C2/c (No. 15)
Unique sites:
Nd: 0.000 0.132 0.250
Nd: 0.159 0.397 0.586
Tl: 0.168 0.111 0.053
Au: 0.000 0.361 0.750

Its crystal system is monoclinic. The total moment comes out at 0.0 μB/f.u.

---

Which structure is most stable, and how do the rest compare? From most to least stable: a, b.

---

## a
Density functional theory data (GGA-PBE) for crystalline Nd8Tl2Au at its relaxed geometry.

Unit cell a=5.541 b=7.312 c=16.998 alpha=90.00 beta=90.00 gamma=90.00
Space group Immm (No. 71)
Unique sites:
Nd: 0.000 0.000 0.195
Nd: 0.000 0.234 0.366
Nd: 0.000 0.252 0.000
Tl: 0.000 0.500 0.186
Au: 0.000 0.500 0.500

Its crystal system is orthorhombic. The total moment comes out at 0.0 μB/f.u.

---

## b
Density functional theory data (GGA-PBE) for crystalline Nd8Tl2Au at its relaxed geometry.

Unit cell a=19.675 b=5.272 c=6.996 alpha=90.00 beta=104.72 gamma=90.00
Space group C2/m (No. 12)
Unique sites:
Nd: 0.015 0.000 0.273
Nd: 0.091 0.500 0.968
Nd: 0.153 0.500 0.490
Nd: 0.210 0.000 0.819
Tl: 0.181 0.000 0.254
Au: 0.000 0.500 0.500

Its crystal system is monoclinic. The total moment comes out at 0.0 μB/f.u.

---

Which structure is most stable, and how do the rest compare? From most to least stable: b, a.

---

## a
Density functional theory data (GGA-PBE) for crystalline Nd8TlAu2 at its relaxed geometry.

Unit cell a=17.853 b=5.128 c=8.118 alpha=90.00 beta=114.03 gamma=90.00
Space group C2/m (No. 12)
Unique sites:
Nd: 0.045 0.000 0.260
Nd: 0.092 0.500 0.961
Nd: 0.180 0.500 0.470
Nd: 0.186 0.000 0.785
Tl: 0.000 0.500 0.500
Au: 0.191 0.000 0.157

Its crystal system is monoclinic. The total moment comes out at 0.0 μB/f.u.

---

## b
Density functional theory data (GGA-PBE) for crystalline Nd8TlAu2 at its relaxed geometry.

Unit cell a=8.987 b=14.324 c=5.680 alpha=90.00 beta=107.50 gamma=90.00
Space group Cm (No. 8)
Unique sites:
Nd: 0.000 0.000 0.000
Nd: 0.095 0.382 0.772
Nd: 0.197 0.118 0.611
Nd: 0.292 0.500 0.385
Nd: 0.394 0.238 0.193
Tl: 0.396 0.000 0.191
Au: 0.397 0.308 0.694

Its crystal system is monoclinic. The total moment comes out at 0.0 μB/f.u.

---

Which structure is most stable, and how do the rest compare? From most to least stable: a, b.

---

## a
Density functional theory data (GGA-PBE) for crystalline NdTmTlAu at its relaxed geometry.

Unit cell a=3.647 b=3.647 c=7.832 alpha=90.00 beta=90.00 gamma=90.00
Space group P4mm (No. 99)
Unique sites:
Nd: 0.000 0.000 0.000
Tm: 0.000 0.000 0.460
Tl: 0.500 0.500 0.721
Au: 0.500 0.500 0.266

Its crystal system is tetragonal. The total moment comes out at 0.0 μB/f.u.

---

## b
Density functional theory data (GGA-PBE) for crystalline NdTmTlAu at its relaxed geometry.

Unit cell a=7.493 b=7.493 c=7.493 alpha=90.00 beta=90.00 gamma=90.00
Space group F-43m (No. 216)
Unique sites:
Nd: 0.000 0.000 0.000
Tm: 0.000 0.000 0.500
Tl: 0.250 0.250 0.750
Au: 0.250 0.250 0.250

Its crystal system is cubic. The total moment comes out at 0.0 μB/f.u.

---

Which structure is most stable, and how do the rest compare? From most to least stable: a, b.

---

## a
Density functional theory data (GGA-PBE) for crystalline NdTmAu at its relaxed geometry.

Unit cell a=4.8960 b=4.8960 c=4.0304 alpha=90.00 beta=90.00 gamma=120.00
Space group P3m1 (No. 156)
Unique sites:
Nd: 0.0000 0.0000 0.0000
Tm: 0.6667 0.3333 0.5114
Au: 0.3333 0.6667 0.3996

Its crystal system is trigonal. The total moment comes out at 0.0 μB/f.u.

---

## b
Density functional theory data (GGA-PBE) for crystalline NdTmAu at its relaxed geometry.

Unit cell a=7.295 b=4.990 c=8.957 alpha=90.00 beta=90.00 gamma=90.00
Space group Pnma (No. 62)
Unique sites:
Nd: 0.014 0.250 0.177
Tm: 0.148 0.250 0.580
Au: 0.244 0.750 0.400

Its crystal system is orthorhombic. The total moment comes out at 0.0 μB/f.u.

---

## c
Density functional theory data (GGA-PBE) for crystalline NdTmAu at its relaxed geometry.

Unit cell a=7.091 b=6.633 c=7.282 alpha=90.00 beta=97.30 gamma=90.00
Space group P2_1/c (No. 14)
Unique sites:
Nd: 0.186 0.167 0.490
Tm: 0.390 0.662 0.670
Au: 0.129 0.591 0.341

Its crystal system is monoclinic. The total moment comes out at 0.0 μB/f.u.

---

Which structure is most stable, and how do the rest compare? From most to least stable: b, c, a.

---

## a
Density functional theory data (GGA-PBE) for crystalline NdTmZnAu at its relaxed geometry.

Unit cell a=7.255 b=7.255 c=7.255 alpha=90.00 beta=90.00 gamma=90.00
Space group F-43m (No. 216)
Unique sites:
Nd: 0.000 0.000 0.000
Tm: 0.000 0.000 0.500
Zn: 0.250 0.250 0.250
Au: 0.250 0.250 0.750

Its crystal system is cubic. The total moment comes out at 0.0 μB/f.u.

---

## b
Density functional theory data (GGA-PBE) for crystalline NdTmZnAu at its relaxed geometry.

Unit cell a=3.617 b=3.617 c=7.242 alpha=90.00 beta=90.00 gamma=90.00
Space group P4mm (No. 99)
Unique sites:
Nd: 0.000 0.000 0.000
Tm: 0.000 0.000 0.496
Zn: 0.500 0.500 0.266
Au: 0.500 0.500 0.714

Its crystal system is tetragonal. The total moment comes out at 0.0 μB/f.u.

---

Which structure is most stable, and how do the rest compare? From most to least stable: b, a.

---

## a
Density functional theory data (GGA-PBE) for crystalline NdY2Au2 at its relaxed geometry.

Unit cell a=8.262 b=8.262 c=3.843 alpha=90.00 beta=90.00 gamma=90.00
Space group P4/mbm (No. 127)
Unique sites:
Nd: 0.000 0.000 0.000
Y: 0.162 0.338 0.500
Au: 0.131 0.631 0.000

Its crystal system is tetragonal. The total moment comes out at 0.0 μB/f.u.

---

## b
Density functional theory data (GGA-PBE) for crystalline NdY2Au2 at its relaxed geometry.

Unit cell a=5.323 b=4.933 c=10.848 alpha=90.00 beta=95.85 gamma=90.00
Space group P2_1/m (No. 11)
Unique sites:
Nd: 0.201 0.250 0.236
Y: 0.248 0.750 0.493
Y: 0.326 0.250 0.888
Au: 0.160 0.750 0.012
Au: 0.278 0.250 0.627

Its crystal system is monoclinic. The total moment comes out at 0.0 μB/f.u.

---

Which structure is most stable, and how do the rest compare? From most to least stable: a, b.

---

## a
Density functional theory data (GGA-PBE) for crystalline NdZn3Au3 at its relaxed geometry.

Unit cell a=12.123 b=12.123 c=12.123 alpha=90.00 beta=90.00 gamma=90.00
Space group Fm-3m (No. 225)
Unique sites:
Nd: 0.250 0.250 0.250
Zn: 0.000 0.000 0.146
Au: 0.000 0.000 0.339

Its crystal system is cubic. The total moment comes out at 0.0 μB/f.u.

---

## b
Density functional theory data (GGA-PBE) for crystalline NdZn3Au3 at its relaxed geometry.

Unit cell a=6.989 b=6.989 c=6.989 alpha=90.00 beta=90.00 gamma=90.00
Space group Pm-3n (No. 223)
Unique sites:
Nd: 0.000 0.000 0.000
Zn: 0.000 0.250 0.500
Au: 0.000 0.500 0.250

Its crystal system is cubic. The total moment comes out at 0.0 μB/f.u.

---

Which structure is most stable, and how do the rest compare? From most to least stable: b, a.

---

## a
Density functional theory data (GGA-PBE) for crystalline Nd2Zn3Au at its relaxed geometry.

Unit cell a=7.210 b=9.209 c=16.008 alpha=90.00 beta=90.00 gamma=90.00
Space group Fmmm (No. 69)
Unique sites:
Nd: 0.241 0.000 0.000
Nd: 0.250 0.250 0.250
Zn: 0.000 0.000 0.337
Zn: 0.000 0.245 0.418
Au: 0.000 0.000 0.168

Its crystal system is orthorhombic. The total moment comes out at 0.0 μB/f.u.

---

## b
Density functional theory data (GGA-PBE) for crystalline Nd2Zn3Au at its relaxed geometry.

Unit cell a=4.116 b=4.310 c=15.693 alpha=90.00 beta=90.00 gamma=90.00
Space group Imm2 (No. 44)
Unique sites:
Nd: 0.000 0.000 0.000
Nd: 0.000 0.500 0.249
Zn: 0.000 0.000 0.414
Zn: 0.000 0.500 0.671
Zn: 0.000 0.500 0.831
Au: 0.000 0.000 0.581

Its crystal system is orthorhombic. The total moment comes out at 0.0 μB/f.u.

---

Which structure is most stable, and how do the rest compare? From most to least stable: a, b.